The following is a PBE calculation of a geometry-optimized TiAgSn2 structure, from Alexandria via LeMat-Bulk.

Unit cell a=7.608 b=7.608 c=6.220 alpha=90.00 beta=90.00 gamma=90.00
Positions (direct):
Ti1 0.000 0.000 0.000
Ti2 0.000 0.500 0.250
Ti3 0.500 0.000 0.750
Ti4 0.500 0.500 0.500
Ag1 0.000 0.000 0.500
Ag2 0.000 0.500 0.750
Ag3 0.500 0.000 0.250
Ag4 0.500 0.500 0.000
Sn1 0.239 0.250 0.625
Sn2 0.250 0.739 0.875
Sn3 0.250 0.761 0.375
Sn4 0.261 0.250 0.125
Sn5 0.739 0.750 0.125
Sn6 0.750 0.239 0.375
Sn7 0.750 0.261 0.875
Sn8 0.761 0.750 0.625

**ΔH_f (0 K)**: 0.21 eV/atom
**Space group**: I-42d
**N(E_F)**: 4.5 states/eV/f.u.
**Polymorph energy (0 for the lowest one)**: 267.1 meV per atom
**Crystal system**: tetragonal


The following is a PBE calculation of a geometry-optimized Sc5Cd2Pd2 structure, from Alexandria via LeMat-Bulk.

Unit cell a=8.766 b=8.766 c=6.956 alpha=90.00 beta=90.00 gamma=47.33
Positions (direct):
Sc1 0.000 0.000 0.000
Sc2 0.055 0.696 0.674
Sc3 0.196 0.555 0.174
Sc4 0.304 0.945 0.674
Sc5 0.445 0.804 0.174
Sc6 0.500 0.500 0.500
Sc7 0.555 0.196 0.826
Sc8 0.696 0.055 0.326
Sc9 0.804 0.445 0.826
Sc10 0.945 0.304 0.326
Cd1 0.224 0.224 0.000
Cd2 0.276 0.276 0.500
Cd3 0.724 0.724 0.500
Cd4 0.776 0.776 0.000
Pd1 0.135 0.865 0.365
Pd2 0.365 0.635 0.865
Pd3 0.635 0.365 0.135
Pd4 0.865 0.135 0.635

**ΔH_f (0 K)**: -0.45 eV/atom
**Space group**: Cmce
**N(E_F)**: 9.7 states/eV/f.u.
**Crystal system**: orthorhombic


The following is a PBE calculation of a geometry-optimized BeZn2I8 structure, from Alexandria via LeMat-Bulk.

Unit cell a=6.568 b=8.839 c=9.004 alpha=63.87 beta=77.41 gamma=82.79
Positions (direct):
Be1 0.000 0.000 0.000
Zn1 0.359 0.117 0.203
Zn2 0.641 0.883 0.797
I1 0.222 0.284 0.379
I2 0.232 0.833 0.857
I3 0.238 0.806 0.323
I4 0.260 0.247 0.892
I5 0.740 0.753 0.108
I6 0.762 0.194 0.677
I7 0.768 0.167 0.143
I8 0.778 0.716 0.621

**Space group**: P-1
**N(E_F)**: 8.6 states/eV/f.u.
**Crystal system**: triclinic
**Energy relative to the elements, uncorrected**: -0.2558 eV/atom


The following is a PBE calculation of a geometry-optimized Ac8Ru3PtBr3 structure, from Alexandria via LeMat-Bulk.

Unit cell a=8.709 b=8.709 c=9.592 alpha=117.08 beta=117.08 gamma=59.96
Positions (direct):
Ac1 0.222 0.736 0.695
Ac2 0.232 0.232 0.697
Ac3 0.264 0.264 0.305
Ac4 0.264 0.778 0.305
Ac5 0.736 0.222 0.695
Ac6 0.736 0.736 0.695
Ac7 0.768 0.768 0.303
Ac8 0.778 0.264 0.305
Ru1 0.000 0.000 0.500
Ru2 0.000 0.500 0.500
Ru3 0.500 0.000 0.500
Pt1 0.500 0.500 0.500
Br1 0.000 0.500 0.000
Br2 0.500 0.000 0.000
Br3 0.500 0.500 0.000

**Space group**: C2/m
**N(E_F)**: 8.2 states/eV/f.u.
**Crystal system**: monoclinic
**Energy relative to the elements, uncorrected**: -0.8237 eV/atom


| no. | final energy (eV/cell) |
| --- | --- |
| 1 | -71.60 |
| 2 | -95.79 |
| 3 | -21.49 |
| 4 | -84.11 |